# 1
Compound: FeAu2Br
Source: Alexandria via LeMat-Bulk
Functional: PBE
Structure: relaxed

a b c (Å): 6.460 6.460 6.460
angles (deg): 152.80 140.37 48.73
Element x y z (fractional)
1 Fe 0.000 0.000 0.000
2 Au 0.204 0.704 0.500
3 Au 0.796 0.296 0.500
4 Br 0.500 0.500 0.000

Properties
- Space-group type: Immm (71)
- Raw formation energy: 0.3333 eV/atom

---

# 2
Compound: FeAuBr
Source: Alexandria via LeMat-Bulk
Functional: PBE
Structure: relaxed

a b c (Å): 3.366 3.366 6.646
angles (deg): 90.00 90.00 120.00
Element x y z (fractional)
1 Fe 0.000 0.000 0.000
2 Au 0.667 0.333 0.268
3 Br 0.333 0.667 0.754

Properties
- Space-group type: P3m1 (156)
- Raw formation energy: 0.1818 eV/atom

---

# 3
Compound: Fe2AuBr6
Source: Alexandria via LeMat-Bulk
Functional: PBE
Structure: relaxed

a b c (Å): 10.224 10.224 6.752
angles (deg): 102.39 102.39 89.82
Element x y z (fractional)
1 Fe 0.148 0.306 0.319
2 Fe 0.306 0.148 0.819
3 Fe 0.694 0.852 0.181
4 Fe 0.852 0.694 0.681
5 Au 0.215 0.785 0.750
6 Au 0.785 0.215 0.250
7 Br 0.071 0.648 0.878
8 Br 0.105 0.234 0.628
9 Br 0.234 0.105 0.128
10 Br 0.292 0.491 0.405
11 Br 0.352 0.929 0.622
12 Br 0.491 0.292 0.905
13 Br 0.509 0.708 0.095
14 Br 0.648 0.071 0.378
15 Br 0.708 0.509 0.595
16 Br 0.766 0.895 0.872
17 Br 0.895 0.766 0.372
18 Br 0.929 0.352 0.122

Properties
- Space-group type: C2/c (15)
- Raw formation energy: -0.3505 eV/atom

---

# 4
Compound: FeAu2Br
Source: Alexandria via LeMat-Bulk
Functional: PBE
Structure: relaxed

a b c (Å): 4.726 4.726 4.726
angles (deg): 60.00 60.00 60.00
Element x y z (fractional)
1 Fe 0.000 0.000 0.000
2 Au 0.250 0.250 0.250
3 Au 0.500 0.500 0.500
4 Br 0.750 0.750 0.750

Properties
- Space-group type: F-43m (216)
- Raw formation energy: 0.5537 eV/atom

---

# 5
Compound: FeAu2Br
Source: Alexandria via LeMat-Bulk
Functional: PBE
Structure: relaxed

a b c (Å): 4.756 4.756 4.756
angles (deg): 60.00 60.00 60.00
Element x y z (fractional)
1 Fe 0.000 0.000 0.000
2 Au 0.250 0.250 0.250
3 Au 0.750 0.750 0.750
4 Br 0.500 0.500 0.500

Properties
- Space-group type: Fm-3m (225)
- Raw formation energy: 0.6548 eV/atom

---

# 6
Compound: FeAuBr2
Source: Alexandria via LeMat-Bulk
Functional: PBE
Structure: relaxed

a b c (Å): 7.810 7.810 7.810
angles (deg): 153.13 140.92 48.06
Element x y z (fractional)
1 Fe 0.000 0.000 0.000
2 Au 0.133 0.633 0.500
3 Br 0.617 0.617 0.000
4 Br 0.885 0.385 0.500

Properties
- Space-group type: Imm2 (44)
- Raw formation energy: 0.1684 eV/atom

---

Which of these has the highest raw formation energy? number 5

---

The lowest raw formation energy belongs to which entry? Fe2AuBr6

---

Number 4 is which compound? FeAu2Br